Entry from Alexandria: crystalline AlGa2Sn at its relaxed geometry (PBE).

Output
The space group is No. 160. Its size of the total moment is 0.00 μB/cell. As for the formation energy: 98 meV per atom. The value obtained for the density of states at the Fermi level is 1.93 states/eV per cell.

a b c (Å): 6.193 6.193 6.193
angles (deg): 40.07 40.07 40.07
Positions (direct):
1 Al 0.000 0.000 0.000
2 Ga 0.407 0.407 0.407
3 Ga 0.598 0.598 0.598
4 Sn 0.172 0.172 0.172